[1]
Crystalline ScRhBr at its relaxed geometry. Source: Alexandria via LeMat-Bulk, functional PBE-GGA.

a = 4.393 Å, b = 4.393 Å, c = 3.304 Å
α = 90.00°, β = 90.00°, γ = 120.00°
Fractional positions:
Br 0.000 0.000 0.166
Rh 0.667 0.333 0.167
Sc 0.333 0.667 0.667

Calculated values
Final energy ... -5.546 eV/atom
Formation energy from raw total energies ... -0.428 eV/atom
SG ... P-6m2 (187)
Excess energy over the best structure of this formula in the dataset ... 0.84 eV/f.u.
Theoretical density ... 6.848 g/cm3


[2]
Crystalline BP3Rh at its relaxed geometry. Source: Alexandria via LeMat-Bulk, functional PBE-GGA.

a = 4.580 Å, b = 4.580 Å, c = 4.580 Å
α = 90.00°, β = 90.00°, γ = 90.00°
Fractional positions:
P 0.000 0.500 0.000
P 0.000 0.000 0.500
P 0.500 0.000 0.000
B 0.500 0.500 0.500
Rh 0.000 0.000 0.000

Calculated values
Final energy ... -4.537 eV/atom
DFT formation energy ... 1.515 eV/atom
SG ... Pm-3m (221)
Excess energy over the best structure of this formula in the dataset ... 4.24 eV/f.u.
Theoretical density ... 3.571 g/cm3


[3]
Crystalline RbZrSi at its relaxed geometry. Source: Alexandria via LeMat-Bulk, functional PBE-GGA.

a = 3.763 Å, b = 3.763 Å, c = 13.318 Å
α = 90.00°, β = 90.79°, γ = 90.00°
Fractional positions:
Si 0.743 0.250 0.871
Si 0.257 0.750 0.129
Rb 0.767 0.250 0.334
Rb 0.233 0.750 0.666
Zr 0.754 0.250 0.076
Zr 0.246 0.750 0.924

Calculated values
Final energy ... -5.252 eV/atom
Formation energy from raw total energies ... -0.272 eV/atom
SG ... P2_1/m (11)
Excess energy over the best structure of this formula in the dataset ... 0.00 eV/f.u.
Theoretical density ... 3.607 g/cm3